# CrFeI2O | Alexandria via LeMat-Bulk | GGA+U | relaxed
data_CrFeI2O
_cell_length_a 5.7792
_cell_length_b 5.7792
_cell_length_c 3.6971
_cell_angle_alpha 90.00
_cell_angle_beta 90.00
_cell_angle_gamma 90.00
_symmetry_space_group_name_H-M 'P 4/m m m'
_symmetry_Int_Tables_number 123
_symmetry_space_group_name_Hall '-P 4 2'
loop_
_atom_site_label
_atom_site_fract_x
_atom_site_fract_y
_atom_site_fract_z
Cr1 0.0000 0.0000 0.0000
Fe1 0.5000 0.5000 0.5000
I1 0.0000 0.5000 0.0000
O1 0.0000 0.0000 0.5000
# Density of states at the Fermi level (states/eV per cell): 2.40
# Crystal system: tetragonal
# E (eV per formula unit): -22.2

***

# CrFeIO2 | Alexandria via LeMat-Bulk | GGA+U | relaxed
data_CrFeIO2
_cell_length_a 3.7721
_cell_length_b 3.7721
_cell_length_c 7.1126
_cell_angle_alpha 90.00
_cell_angle_beta 90.00
_cell_angle_gamma 90.00
_symmetry_space_group_name_H-M 'P 4/m m m'
_symmetry_Int_Tables_number 123
_symmetry_space_group_name_Hall '-P 4 2'
loop_
_atom_site_label
_atom_site_fract_x
_atom_site_fract_y
_atom_site_fract_z
Cr1 0.0000 0.0000 0.0000
Fe1 0.5000 0.5000 0.5000
I1 0.0000 0.0000 0.5000
O1 0.0000 0.5000 0.0000
# Density of states at the Fermi level (states/eV per cell): 4.23
# Crystal system: tetragonal
# E (eV per formula unit): -26.5

***

# CrFeIO2 | Alexandria via LeMat-Bulk | GGA+U | relaxed
data_CrFeIO2
_cell_length_a 3.8903
_cell_length_b 3.8903
_cell_length_c 6.1258
_cell_angle_alpha 90.00
_cell_angle_beta 90.00
_cell_angle_gamma 90.00
_symmetry_space_group_name_H-M 'P 4/m m m'
_symmetry_Int_Tables_number 123
_symmetry_space_group_name_Hall '-P 4 2'
loop_
_atom_site_label
_atom_site_fract_x
_atom_site_fract_y
_atom_site_fract_z
Cr1 0.0000 0.0000 0.0000
Fe1 0.5000 0.5000 0.5000
I1 0.5000 0.5000 0.0000
O1 0.0000 0.5000 0.5000
# Density of states at the Fermi level (states/eV per cell): 1.12
# Crystal system: tetragonal
# E (eV per formula unit): -26.4

***

# CrFeI2O | Alexandria via LeMat-Bulk | GGA+U | relaxed
data_CrFeI2O
_cell_length_a 5.7244
_cell_length_b 5.7244
_cell_length_c 3.6991
_cell_angle_alpha 90.00
_cell_angle_beta 90.00
_cell_angle_gamma 90.00
_symmetry_space_group_name_H-M 'P 4/m m m'
_symmetry_Int_Tables_number 123
_symmetry_space_group_name_Hall '-P 4 2'
loop_
_atom_site_label
_atom_site_fract_x
_atom_site_fract_y
_atom_site_fract_z
Cr1 0.0000 0.0000 0.0000
Fe1 0.5000 0.5000 0.5000
I1 0.0000 0.5000 0.5000
O1 0.5000 0.5000 0.0000
# Density of states at the Fermi level (states/eV per cell): 5.04
# Crystal system: tetragonal
# E (eV per formula unit): -22.4